A relaxed structure of Pr5NdSc2. Source: the Alexandria database, functional PBE.

Cell lengths 3.5854, 11.1621, 8.8554 Å; angles 129.07, 101.68, 90.00 degrees
Fractional coordinates of all 8 atoms:
Sc 0.7414 0.2414 0.4829
Sc 0.2586 0.7586 0.5171
Pr 0.0000 0.5000 0.0000
Pr 0.3660 0.1365 0.7320
Pr 0.3660 0.5955 0.7320
Pr 0.6340 0.4045 0.2680
Pr 0.6340 0.8635 0.2680
Nd 0.0000 0.0000 0.0000

* energy of formation from the pure elements: 0.06 eV per atom
* space group: Immm (71)
* energy: -40.8 eV for the cell shown
* calculated volume: 266 Å³ per cell

***

A relaxed structure of Pr8Nd3Sc2. Source: the Alexandria database, functional PBE.

Cell lengths 5.8155, 7.8637, 10.7980 Å; angles 111.35, 90.04, 90.00 degrees
Fractional coordinates of all 13 atoms:
Nd 0.0000 0.7107 0.0000
Nd 0.0000 0.2893 0.0000
Nd 0.5000 0.0000 0.0000
Pr 0.9986 0.3185 0.6371
Pr 0.5005 0.8188 0.2252
Pr 0.4995 0.1812 0.7748
Pr 0.4995 0.5936 0.7748
Pr 0.9996 0.1343 0.2685
Pr 0.0004 0.8657 0.7315
Pr 0.0014 0.6815 0.3629
Pr 0.5005 0.4064 0.2252
Sc 0.4984 0.2401 0.4801
Sc 0.5016 0.7599 0.5199

* energy of formation from the pure elements: 0.22 eV per atom
* space group: C2/m (12)
* energy: -62.4 eV for the cell shown
* distance to the lowest polymorph of the same formula: 68 meV/atom
* calculated volume: 460 Å³ per cell

***

A relaxed structure of Pr2Nd3Sc. Source: the Alexandria database, functional PBE.

Cell lengths 6.2584, 9.5867, 10.8889 Å; angles 129.05, 125.33, 77.35 degrees
Fractional coordinates of all 12 atoms:
Nd 0.7105 0.3775 0.4192
Nd 0.9598 0.6378 0.9211
Nd 0.2895 0.6225 0.5808
Nd 0.6273 0.6246 0.2528
Nd 0.0402 0.3622 0.0789
Nd 0.3727 0.3754 0.7472
Sc 0.1219 0.1248 0.2458
Sc 0.8781 0.8752 0.7542
Pr 0.5341 0.8831 0.0852
Pr 0.4659 0.1169 0.9148
Pr 0.2149 0.8775 0.4178
Pr 0.7851 0.1225 0.5822

* energy of formation from the pure elements: 0.04 eV per atom
* space group: P-1 (2)
* energy: -59.9 eV for the cell shown
* distance to the lowest polymorph of the same formula: 0 meV/atom
* calculated volume: 403 Å³ per cell

***

A relaxed structure of Pr2Nd5Sc2. Source: the Alexandria database, functional PBE.

Cell lengths 5.0859, 8.0525, 8.0281 Å; angles 107.67, 108.47, 90.00 degrees
Fractional coordinates of all 9 atoms:
Pr 0.8929 0.3371 0.7859
Pr 0.1071 0.6629 0.2141
Nd 0.7791 0.6640 0.5582
Nd 0.3357 0.9974 0.6713
Nd 0.0000 0.0000 0.0000
Nd 0.6643 0.0026 0.3287
Nd 0.2209 0.3360 0.4418
Sc 0.5552 0.3395 0.1105
Sc 0.4448 0.6605 0.8895

* energy of formation from the pure elements: 0.04 eV per atom
* space group: C2/m (12)
* energy: -45.7 eV for the cell shown
* distance to the lowest polymorph of the same formula: 0 meV/atom
* calculated volume: 295 Å³ per cell

***

A relaxed structure of Pr3Nd7Sc. Source: the Alexandria database, functional PBE.

Cell lengths 8.8341, 7.2197, 7.2197 Å; angles 120.00, 90.00, 90.00 degrees
Fractional coordinates of all 11 atoms:
Nd 0.1205 0.6641 0.8321
Nd 0.4501 0.8330 0.1670
Nd 0.1205 0.1679 0.3359
Nd 0.1208 0.6667 0.3333
Nd 0.4501 0.8330 0.6660
Nd 0.1205 0.1679 0.8321
Nd 0.4501 0.3340 0.1670
Sc 0.4434 0.3333 0.6667
Pr 0.7796 0.4987 0.9973
Pr 0.7796 0.0027 0.5013
Pr 0.7796 0.4987 0.5013

* energy of formation from the pure elements: 0.17 eV per atom
* space group: P3m1 (156)
* energy: -52.2 eV for the cell shown
* calculated volume: 399 Å³ per cell

***

A relaxed structure of Pr8Nd2Sc3. Source: the Alexandria database, functional PBE.

Cell lengths 6.0546, 8.9071, 8.9071 Å; angles 81.42, 72.95, 72.95 degrees
Fractional coordinates of all 13 atoms:
Pr 0.3526 0.3882 0.9188
Pr 0.2325 0.5830 0.5830
Pr 0.3526 0.9188 0.3882
Pr 0.7675 0.4170 0.4170
Pr 0.6474 0.0812 0.6118
Pr 0.8875 0.1354 0.1354
Pr 0.6474 0.6118 0.0812
Pr 0.1125 0.8646 0.8646
Sc 0.5000 0.0000 0.0000
Sc 0.0000 0.7361 0.2639
Sc 0.0000 0.2639 0.7361
Nd 0.6664 0.6852 0.6852
Nd 0.3336 0.3148 0.3148

* energy of formation from the pure elements: 0.17 eV per atom
* space group: C2/m (12)
* energy: -64.5 eV for the cell shown
* calculated volume: 438 Å³ per cell

***

A relaxed structure of Pr2NdSc. Source: the Alexandria database, functional PBE.

Cell lengths 5.0539, 5.0820, 5.0820 Å; angles 90.00, 90.00, 90.00 degrees
Fractional coordinates of all 4 atoms:
Pr 0.0000 0.0000 0.5000
Pr 0.0000 0.5000 0.0000
Nd 0.5000 0.5000 0.5000
Sc 0.5000 0.0000 0.0000

* energy of formation from the pure elements: 0.04 eV per atom
* space group: P4/mmm (123)
* energy: -20.5 eV for the cell shown
* distance to the lowest polymorph of the same formula: 0 meV/atom
* calculated volume: 131 Å³ per cell

***

A relaxed structure of Pr12Nd5Sc2. Source: the Alexandria database, functional PBE.

Cell lengths 7.1571, 8.8813, 11.9539 Å; angles 111.06, 107.42, 90.00 degrees
Fractional coordinates of all 19 atoms:
Pr 0.5490 0.6999 0.0981
Pr 0.5440 0.2072 0.5915
Pr 0.1507 0.6246 0.7931
Pr 0.1288 0.0221 0.2575
Pr 0.0475 0.2072 0.5915
Pr 0.6424 0.6246 0.7931
Pr 0.8712 0.9779 0.7425
Pr 0.3576 0.3754 0.2069
Pr 0.8493 0.3754 0.2069
Pr 0.4560 0.7928 0.4085
Pr 0.4510 0.3001 0.9019
Pr 0.9525 0.7928 0.4085
Nd 0.7524 0.5153 0.5049
Nd 0.6462 0.0943 0.2925
Nd 0.3538 0.9057 0.7075
Nd 0.2476 0.4847 0.4951
Nd 0.0000 0.5000 0.0000
Sc 0.7315 0.0000 0.0000
Sc 0.2685 0.0000 0.0000

* energy of formation from the pure elements: 0.14 eV per atom
* space group: C2/m (12)
* energy: -91.2 eV for the cell shown
* distance to the lowest polymorph of the same formula: 0 meV/atom
* calculated volume: 672 Å³ per cell

***

Among the records above, which one has the highest energy? Pr2NdSc

***

The lowest energy belongs to which entry? Pr12Nd5Sc2